# K2Pr2US6 GGA-PBE relaxed
data_K2Pr2US6
_symmetry_space_group_name_H-M 'P 1'
_symmetry_Int_Tables_number 1
_cell_length_a 7.1807
_cell_length_b 7.1807
_cell_length_c 7.8875
_cell_angle_alpha 98.86
_cell_angle_beta 98.86
_cell_angle_gamma 119.62
loop_
_symmetry_equiv_pos_as_xyz
'x,y,z'
loop_
_atom_site_label
_atom_site_type_symbol
_atom_site_fract_x
_atom_site_fract_y
_atom_site_fract_z
S1 S 0.0634 0.3843 0.6985
S2 S 0.6157 0.9366 0.3015
S3 S 0.2458 0.2458 0.3021
S4 S 0.9366 0.6157 0.3015
S5 S 0.7542 0.7542 0.6979
S6 S 0.3843 0.0634 0.6985
Pr1 Pr 0.3340 0.6660 0.5000
Pr2 Pr 0.6660 0.3340 0.5000
K1 K 0.1694 0.8306 0.0000
K2 K 0.8306 0.1694 0.0000
U1 U 0.0000 0.0000 0.5000
# density: 3.90 g cm⁻³
# uncorrected formation energy: -164.7 kJ per mole of atoms
# spin magnetization: 2.000 μB per formula unit
# density of states at the Fermi level: 6.8 states/eV per cell